# Y2AlPbO6 PBE relaxed
# Total DFT energy (no corrections)   -0.2753 Ha/atom
# SG   No. 99
data_Y2AlPbO6
_space_group_name_H-M_alt 'P 1'
_space_group_IT_number 1
_space_group_name_Hall 'P 1'
_cell_length_a 5.284
_cell_length_b 5.284
_cell_length_c 5.266
_cell_angle_alpha 90.00
_cell_angle_beta 90.00
_cell_angle_gamma 90.00
loop_
_atom_site_label
_atom_site_type_symbol
_atom_site_fract_x
_atom_site_fract_y
_atom_site_fract_z
Y1 Y 0.000 0.500 0.000
Y2 Y 0.500 0.000 0.000
Al1 Al 0.000 0.000 0.618
Pb1 Pb 0.500 0.500 0.559
O1 O 0.000 0.000 0.277
O2 O 0.232 0.232 0.759
O3 O 0.232 0.768 0.759
O4 O 0.500 0.500 0.138
O5 O 0.768 0.232 0.759
O6 O 0.768 0.768 0.759